A plane-wave DFT calculation with GGA+U was carried out for a relaxed PmUMoO6 crystal.

## Properties
E   -8.56 eV/atom
Magnetic moment   3.000 μB/f.u.

abc: 5.8119 5.8119 8.8040
angles: 90.00 90.00 120.00
With the nearest neighbours (Å) after each atom.
Space group P-31c (No. 163)
Unique sites:
1 Pm 0.3333 0.6667 0.2500 x2  6 O 2.36
2 U 0.3333 0.6667 0.7500 x2  6 O 2.10
3 Mo 0.0000 0.0000 0.0000 x2  6 O 2.22
4 O 0.0345 0.3471 0.6266 x12  1 U 2.10, 1 Mo 2.22